BeVRuN2 | GGA-PBE | relaxed

POSCAR file:
```
BeVRuN2
1.0
3.546 0.000 0.000
0.000 3.972 0.000
0.000 0.000 3.546
Ru N Be V
1 2 1 1
Direct
0.500 0.500 0.500
0.000 0.000 0.500
0.500 0.000 0.000
0.000 0.000 0.000
0.000 0.500 0.000
```

Calculated values
* space group: P4/mmm, No. 123
* VASP energy: -31.836 eV/f.u.
* volume: 50.0 Å³/f.u.